Entry from Alexandria via LeMat-Bulk: an optimized crystal structure of NaPrSnPd (PBE-GGA).

Structure (POSCAR):
```
NaPrSnPd
1.0
-3.3777 0.4584 3.6728
-0.1925 -3.4098 3.6667
1.4825 1.2135 4.6302
Pr Na Sn Pd
1 1 1 1
Direct
0.7500 0.7500 0.7500 Pr
0.5000 0.5000 0.5000 Na
0.2500 0.2500 0.2500 Sn
0.0000 0.0000 0.0000 Pd
```

- Fermi-level density of states (states/eV/cell) = 0.28
- crystal system = cubic
- SG = F-43m (216)
- total energy (eV per atom) = -4.392
- density (g/cm3) = 7.3



Entry from Alexandria via LeMat-Bulk: an optimized crystal structure of CuSnRu2O (PBE-GGA).

Structure (POSCAR):
```
CuSnRu2O
1.0
4.0463 0.0000 0.0000
0.0000 4.7031 0.0000
0.0000 0.0000 4.0463
O Ru Sn Cu
1 2 1 1
Direct
0.0000 0.0000 0.0000 O
0.0000 0.0000 0.5000 Ru
0.5000 0.0000 0.0000 Ru
0.0000 0.5000 0.0000 Sn
0.5000 0.5000 0.5000 Cu
```

- raw formation energy (eV per atom) = 0.3144
- Fermi-level density of states (states/eV/cell) = 3.69
- crystal system = tetragonal
- SG = P4/mmm (123)
- total energy (eV per atom) = -6.007
- density (g/cm3) = 8.6



Entry from Alexandria via LeMat-Bulk: an optimized crystal structure of Ta2FePt (PBE-GGA).

Structure (POSCAR):
```
Ta2FePt
1.0
-1.9331 -1.9644 -0.5323
1.1127 -1.1676 2.2973
-5.4112 4.0561 4.6823
Fe Pt Ta
1 1 2
Direct
0.0000 0.0000 0.5109 Fe
0.5000 0.5000 0.7343 Pt
0.0000 0.0000 0.9881 Ta
0.5000 0.5000 0.2667 Ta
```

- Fermi-level density of states (states/eV/cell) = 3.92
- polymorph energy (0 for the lowest one) (meV per atom) = 182
- crystal system = orthorhombic
- SG = Cmm2 (35)
- total energy (eV per atom) = -9.733
- density (g/cm3) = 15.9



Entry from Alexandria via LeMat-Bulk: an optimized crystal structure of YEr6Sc (PBE-GGA).

Structure (POSCAR):
```
YEr6Sc
1.0
-5.7957 3.4278 -1.5119
-1.2912 -6.7587 0.5280
2.7170 2.3791 5.8808
Y Er Sc
1 6 1
Direct
0.0000 0.0000 0.0000 Y
0.2515 0.7379 0.2515 Er
0.2515 0.2515 0.7379 Er
0.7485 0.2621 0.7485 Er
0.2621 0.7485 0.7485 Er
0.7485 0.7485 0.2621 Er
0.7379 0.2515 0.2515 Er
0.5000 0.5000 0.5000 Sc
```

- Fermi-level density of states (states/eV/cell) = 16.23
- crystal system = trigonal
- SG = R-3m (166)
- total energy (eV per atom) = -4.773
- density (g/cm3) = 7.7



Entry from Alexandria via LeMat-Bulk: an optimized crystal structure of CaMgRe2 (PBE-GGA).

Structure (POSCAR):
```
CaMgRe2
1.0
-0.3103 -2.0126 -1.8175
0.4211 -1.3024 2.3615
-9.5079 -0.0436 1.6713
Ca Mg Re
1 1 2
Direct
0.5000 0.5000 0.2500 Ca
0.5000 0.5000 0.7500 Mg
0.0000 0.0000 0.9850 Re
0.0000 0.0000 0.5150 Re
```

- Fermi-level density of states (states/eV/cell) = 2.22
- crystal system = orthorhombic
- SG = Cmmm (65)
- total energy (eV per atom) = -6.561
- density (g/cm3) = 10.4



Entry from Alexandria via LeMat-Bulk: an optimized crystal structure of Tl2IBr5 (PBE-GGA).

Structure (POSCAR):
```
Tl2IBr5
1.0
-5.6027 6.8044 3.9277
-9.4588 -4.5226 -5.6575
-1.9623 -8.4015 9.9969
Tl I Br
8 4 20
Direct
0.7491 0.8984 0.0526 Tl
0.2491 0.6016 0.0526 Tl
0.4735 0.9503 0.3070 Tl
0.9735 0.5497 0.3070 Tl
0.0265 0.4503 0.6930 Tl
0.5265 0.0497 0.6930 Tl
0.7509 0.3984 0.9474 Tl
0.2509 0.1016 0.9474 Tl
0.6083 0.3608 0.1913 I
0.1083 0.1393 0.1913 I
0.8917 0.8608 0.8087 I
0.3917 0.6392 0.8087 I
0.9108 0.1467 0.0411 Br
0.9017 0.6067 0.1145 Br
0.4108 0.3533 0.0411 Br
0.4017 0.8933 0.1145 Br
0.8982 0.6960 0.4343 Br
0.2323 0.4946 0.2939 Br
0.3982 0.8040 0.4343 Br
0.8222 0.3606 0.3428 Br
0.7323 0.0054 0.2939 Br
0.3222 0.1394 0.3428 Br
0.6778 0.8606 0.6572 Br
0.2677 0.9946 0.7061 Br
0.1778 0.6394 0.6572 Br
0.6018 0.1960 0.5657 Br
0.7677 0.5054 0.7061 Br
0.1018 0.3040 0.5657 Br
0.5983 0.1067 0.8855 Br
0.5892 0.6467 0.9589 Br
0.0983 0.3933 0.8855 Br
0.0892 0.8533 0.9589 Br
```

- raw formation energy (eV per atom) = -0.4650
- polymorph energy (0 for the lowest one) (meV per atom) = 0
- crystal system = monoclinic
- SG = P2_1/c (14)
- total energy (eV per atom) = -2.296
- density (g/cm3) = 4.1